## CaAc2Bi (GGA-PBE)

Data for a geometry-optimized CaAc2Bi structure.

Calculated volume, A^3/atom: 38.963
Total magnetization, μB/f.u.: 0.0
Total energy, eV per atom: -3.91
Relative energy among the computed polymorphs, meV per atom: 0
Symmetry: P4/mmm (123)
Energy of formation, eV per atom: -0.39

a = 4.5266 Å, b = 4.5266 Å, c = 7.6062 Å
α = 90.00°, β = 90.00°, γ = 90.00°
With the nearest neighbours (Å) after each atom.
Element x y z (fractional)
Ca: 0.0000 0.0000 0.0000  8 Ac 3.79, 2 Bi 3.80
Ac: 0.5000 0.5000 0.2662  1 Ac 3.56, 4 Bi 3.66, 4 Ca 3.79
Ac: 0.5000 0.5000 0.7338  1 Ac 3.56, 4 Bi 3.66, 4 Ca 3.79
Bi: 0.0000 0.0000 0.5000  8 Ac 3.66, 2 Ca 3.80